A | ! Cs3TlSb2 GGA-PBE relaxed; values from VASP
&SYSTEM
  ibrav = 0, nat = 12, ntyp = 3
/
ATOMIC_SPECIES
Cs 132.91 Cs.upf
Tl 204.38 Tl.upf
Sb 121.76 Sb.upf
CELL_PARAMETERS angstrom
-4.617 8.236 3.990
4.617 -8.236 3.990
4.617 8.236 -3.990
ATOMIC_POSITIONS crystal
Cs 0.173 0.698 0.871
Cs 0.250 0.250 0.000
Cs 0.327 0.198 0.525
Cs 0.673 0.802 0.475
Cs 0.750 0.750 0.000
Cs 0.827 0.302 0.129
Tl 0.250 0.750 0.500
Tl 0.750 0.250 0.500
Sb 0.094 0.315 0.409
Sb 0.406 0.815 0.221
Sb 0.594 0.185 0.779
Sb 0.906 0.685 0.591
! **M_tot**: 0.0 μB/cell
! **Space-group type**: Ibam (72)

---

B | ! Cs3TlSb2 GGA-PBE relaxed; values from VASP
&SYSTEM
  ibrav = 0, nat = 12, ntyp = 3
/
ATOMIC_SPECIES
Cs 132.91 Cs.upf
Tl 204.38 Tl.upf
Sb 121.76 Sb.upf
CELL_PARAMETERS angstrom
10.579 -2.742 0.000
10.579 2.742 0.000
-2.928 0.000 10.739
ATOMIC_POSITIONS crystal
Cs 0.053 0.053 0.186
Cs 0.193 0.193 0.571
Cs 0.321 0.321 0.945
Cs 0.679 0.679 0.055
Cs 0.807 0.807 0.429
Cs 0.947 0.947 0.814
Tl 0.437 0.437 0.327
Tl 0.563 0.563 0.673
Sb 0.120 0.120 0.831
Sb 0.414 0.414 0.585
Sb 0.586 0.586 0.415
Sb 0.880 0.880 0.169
! **M_tot**: 0.0 μB/cell
! **Space-group type**: C2/m (12)

---

Least stable: B

---

A | ! CsSb3W GGA-PBE relaxed; values from VASP
&SYSTEM
  ibrav = 0, nat = 5, ntyp = 3
/
ATOMIC_SPECIES
Cs 132.91 Cs.upf
Sb 121.76 Sb.upf
W 183.84 W.upf
CELL_PARAMETERS angstrom
5.818 0.000 0.000
0.000 5.818 0.000
0.000 0.000 5.818
ATOMIC_POSITIONS crystal
Cs 0.000 0.000 0.000
Sb 0.000 0.000 0.500
Sb 0.000 0.500 0.000
Sb 0.500 0.000 0.000
W 0.500 0.500 0.500
! **M_tot**: 0.0 μB/cell
! **Space-group type**: Pm-3m (221)

---

B | ! CsSb3W GGA-PBE relaxed; values from VASP
&SYSTEM
  ibrav = 0, nat = 5, ntyp = 3
/
ATOMIC_SPECIES
Cs 132.91 Cs.upf
Sb 121.76 Sb.upf
W 183.84 W.upf
CELL_PARAMETERS angstrom
5.419 0.000 0.000
0.000 5.419 0.000
0.000 0.000 5.419
ATOMIC_POSITIONS crystal
Cs 0.000 0.000 0.000
Sb 0.000 0.500 0.500
Sb 0.500 0.000 0.500
Sb 0.500 0.500 0.000
W 0.500 0.500 0.500
! **M_tot**: 0.0 μB/cell
! **Space-group type**: Pm-3m (221)

---

Least stable: A

---

A | ! CsSbW3 GGA-PBE relaxed; values from VASP
&SYSTEM
  ibrav = 0, nat = 5, ntyp = 3
/
ATOMIC_SPECIES
Cs 132.91 Cs.upf
Sb 121.76 Sb.upf
W 183.84 W.upf
CELL_PARAMETERS angstrom
4.988 0.000 0.000
0.000 4.988 0.000
0.000 0.000 4.988
ATOMIC_POSITIONS crystal
Cs 0.000 0.000 0.000
Sb 0.500 0.500 0.500
W 0.000 0.000 0.500
W 0.000 0.500 0.000
W 0.500 0.000 0.000
! **M_tot**: 0.0 μB/cell
! **Space-group type**: Pm-3m (221)

---

B | ! CsSbW3 GGA-PBE relaxed; values from VASP
&SYSTEM
  ibrav = 0, nat = 5, ntyp = 3
/
ATOMIC_SPECIES
Cs 132.91 Cs.upf
Sb 121.76 Sb.upf
W 183.84 W.upf
CELL_PARAMETERS angstrom
5.134 0.000 0.000
0.000 5.134 0.000
0.000 0.000 5.134
ATOMIC_POSITIONS crystal
Cs 0.000 0.000 0.000
Sb 0.500 0.500 0.500
W 0.000 0.500 0.500
W 0.500 0.000 0.500
W 0.500 0.500 0.000
! **M_tot**: 2.0 μB/cell
! **Space-group type**: Pm-3m (221)

---

Least stable: A

---

A | ! CsY2Sb2 GGA-PBE relaxed; values from VASP
&SYSTEM
  ibrav = 0, nat = 10, ntyp = 3
/
ATOMIC_SPECIES
Cs 132.91 Cs.upf
Y 88.91 Y.upf
Sb 121.76 Sb.upf
CELL_PARAMETERS angstrom
9.295 0.000 0.000
0.000 9.295 0.000
0.000 0.000 3.791
ATOMIC_POSITIONS crystal
Cs 0.000 0.000 0.000
Cs 0.500 0.500 0.000
Y 0.138 0.362 0.500
Y 0.362 0.862 0.500
Y 0.638 0.138 0.500
Y 0.862 0.638 0.500
Sb 0.147 0.647 0.000
Sb 0.353 0.147 0.000
Sb 0.647 0.853 0.000
Sb 0.853 0.353 0.000
! **M_tot**: 0.0 μB/cell
! **Space-group type**: P4/mbm (127)

---

B | ! CsY2Sb2 GGA-PBE relaxed; values from VASP
&SYSTEM
  ibrav = 0, nat = 5, ntyp = 3
/
ATOMIC_SPECIES
Cs 132.91 Cs.upf
Y 88.91 Y.upf
Sb 121.76 Sb.upf
CELL_PARAMETERS angstrom
-2.933 2.933 6.035
2.933 -2.933 6.035
2.933 2.933 -6.035
ATOMIC_POSITIONS crystal
Cs 0.000 0.000 0.000
Y 0.319 0.319 0.000
Y 0.681 0.681 0.000
Sb 0.250 0.750 0.500
Sb 0.750 0.250 0.500
! **M_tot**: 1.0 μB/cell
! **Space-group type**: I4/mmm (139)

---

Least stable: A

---

A | ! Cs3ZnSb2 GGA-PBE relaxed; values from VASP
&SYSTEM
  ibrav = 0, nat = 12, ntyp = 3
/
ATOMIC_SPECIES
Cs 132.91 Cs.upf
Zn 65.41 Zn.upf
Sb 121.76 Sb.upf
CELL_PARAMETERS angstrom
-4.316 7.602 5.315
4.316 -7.602 5.315
4.316 7.602 -5.315
ATOMIC_POSITIONS crystal
Cs 0.031 0.750 0.281
Cs 0.250 0.250 0.000
Cs 0.469 0.750 0.719
Cs 0.531 0.250 0.281
Cs 0.750 0.750 0.000
Cs 0.969 0.250 0.719
Zn 0.000 0.500 0.500
Zn 0.500 0.000 0.500
Sb 0.104 0.732 0.836
Sb 0.396 0.232 0.627
Sb 0.604 0.768 0.373
Sb 0.896 0.268 0.164
! **M_tot**: 2.1 μB/cell
! **Space-group type**: Ibam (72)

---

B | ! Cs3ZnSb2 GGA-PBE relaxed; values from VASP
&SYSTEM
  ibrav = 0, nat = 12, ntyp = 3
/
ATOMIC_SPECIES
Cs 132.91 Cs.upf
Zn 65.41 Zn.upf
Sb 121.76 Sb.upf
CELL_PARAMETERS angstrom
-4.671 7.900 3.818
4.671 -7.900 3.818
4.671 7.900 -3.818
ATOMIC_POSITIONS crystal
Cs 0.173 0.696 0.869
Cs 0.250 0.250 0.000
Cs 0.327 0.196 0.523
Cs 0.673 0.804 0.477
Cs 0.750 0.750 0.000
Cs 0.827 0.304 0.131
Zn 0.250 0.750 0.500
Zn 0.750 0.250 0.500
Sb 0.082 0.331 0.413
Sb 0.418 0.831 0.249
Sb 0.582 0.169 0.751
Sb 0.918 0.669 0.587
! **M_tot**: 0.0 μB/cell
! **Space-group type**: Ibam (72)

---

Least stable: A

---

A | ! Cs3ZnSb GGA-PBE relaxed; values from VASP
&SYSTEM
  ibrav = 0, nat = 5, ntyp = 3
/
ATOMIC_SPECIES
Cs 132.91 Cs.upf
Zn 65.41 Zn.upf
Sb 121.76 Sb.upf
CELL_PARAMETERS angstrom
7.552 0.000 0.000
0.000 7.552 0.000
0.000 0.000 7.552
ATOMIC_POSITIONS crystal
Cs 0.000 0.000 0.500
Cs 0.000 0.500 0.000
Cs 0.500 0.000 0.000
Zn 0.500 0.500 0.500
Sb 0.000 0.000 0.000
! **M_tot**: 0.0 μB/cell
! **Space-group type**: Pm-3m (221)

---

B | ! Cs3ZnSb GGA-PBE relaxed; values from VASP
&SYSTEM
  ibrav = 0, nat = 10, ntyp = 3
/
ATOMIC_SPECIES
Cs 132.91 Cs.upf
Zn 65.41 Zn.upf
Sb 121.76 Sb.upf
CELL_PARAMETERS angstrom
-10.642 3.811 4.714
10.642 -3.811 4.714
10.642 3.811 -4.714
ATOMIC_POSITIONS crystal
Cs 0.246 0.094 0.340
Cs 0.246 0.406 0.652
Cs 0.276 0.875 0.900
Cs 0.754 0.594 0.348
Cs 0.754 0.906 0.660
Cs 0.975 0.375 0.100
Zn 0.366 0.229 0.637
Zn 0.591 0.729 0.363
Sb 0.594 0.508 0.586
Sb 0.922 0.008 0.414
! **M_tot**: 0.0 μB/cell
! **Space-group type**: Ima2 (46)

---

Least stable: A

---

A | ! Cs2Zn2Sb GGA-PBE relaxed; values from VASP
&SYSTEM
  ibrav = 0, nat = 5, ntyp = 3
/
ATOMIC_SPECIES
Cs 132.91 Cs.upf
Zn 65.41 Zn.upf
Sb 121.76 Sb.upf
CELL_PARAMETERS angstrom
-1.904 1.904 12.539
1.904 -1.904 12.539
1.904 1.904 -12.539
ATOMIC_POSITIONS crystal
Cs 0.108 0.108 0.000
Cs 0.892 0.892 0.000
Zn 0.250 0.750 0.500
Zn 0.750 0.250 0.500
Sb 0.500 0.500 0.000
! **M_tot**: 0.0 μB/cell
! **Space-group type**: I4/mmm (139)

---

B | ! Cs2Zn2Sb GGA-PBE relaxed; values from VASP
&SYSTEM
  ibrav = 0, nat = 5, ntyp = 3
/
ATOMIC_SPECIES
Cs 132.91 Cs.upf
Zn 65.41 Zn.upf
Sb 121.76 Sb.upf
CELL_PARAMETERS angstrom
-3.677 3.677 4.079
3.677 -3.677 4.079
3.677 3.677 -4.079
ATOMIC_POSITIONS crystal
Cs 0.250 0.750 0.500
Cs 0.750 0.250 0.500
Zn 0.165 0.165 0.000
Zn 0.835 0.835 0.000
Sb 0.500 0.500 0.000
! **M_tot**: 0.0 μB/cell
! **Space-group type**: I4/mmm (139)

---

Least stable: A

---

A | ! CsZr3Sb GGA-PBE relaxed; values from VASP
&SYSTEM
  ibrav = 0, nat = 5, ntyp = 3
/
ATOMIC_SPECIES
Cs 132.91 Cs.upf
Zr 91.22 Zr.upf
Sb 121.76 Sb.upf
CELL_PARAMETERS angstrom
5.245 0.000 0.000
0.000 5.245 0.000
0.000 0.000 5.245
ATOMIC_POSITIONS crystal
Cs 0.000 0.000 0.000
Zr 0.000 0.000 0.500
Zr 0.000 0.500 0.000
Zr 0.500 0.000 0.000
Sb 0.500 0.500 0.500
! **M_tot**: 0.8 μB/cell
! **Space-group type**: Pm-3m (221)

---

B | ! CsZr3Sb GGA-PBE relaxed; values from VASP
&SYSTEM
  ibrav = 0, nat = 5, ntyp = 3
/
ATOMIC_SPECIES
Cs 132.91 Cs.upf
Zr 91.22 Zr.upf
Sb 121.76 Sb.upf
CELL_PARAMETERS angstrom
5.532 0.000 0.000
0.000 5.532 0.000
0.000 0.000 5.532
ATOMIC_POSITIONS crystal
Cs 0.000 0.000 0.000
Zr 0.000 0.500 0.500
Zr 0.500 0.000 0.500
Zr 0.500 0.500 0.000
Sb 0.500 0.500 0.500
! **M_tot**: 0.0 μB/cell
! **Space-group type**: Pm-3m (221)

---

Least stable: A

---

A | ! CsZrSb3 GGA-PBE relaxed; values from VASP
&SYSTEM
  ibrav = 0, nat = 5, ntyp = 3
/
ATOMIC_SPECIES
Cs 132.91 Cs.upf
Zr 91.22 Zr.upf
Sb 121.76 Sb.upf
CELL_PARAMETERS angstrom
5.849 0.000 0.000
0.000 5.849 0.000
0.000 0.000 5.849
ATOMIC_POSITIONS crystal
Cs 0.000 0.000 0.000
Zr 0.500 0.500 0.500
Sb 0.000 0.000 0.500
Sb 0.000 0.500 0.000
Sb 0.500 0.000 0.000
! **M_tot**: 0.0 μB/cell
! **Space-group type**: Pm-3m (221)

---

B | ! CsZrSb3 GGA-PBE relaxed; values from VASP
&SYSTEM
  ibrav = 0, nat = 5, ntyp = 3
/
ATOMIC_SPECIES
Cs 132.91 Cs.upf
Zr 91.22 Zr.upf
Sb 121.76 Sb.upf
CELL_PARAMETERS angstrom
5.685 0.000 0.000
0.000 5.685 0.000
0.000 0.000 5.685
ATOMIC_POSITIONS crystal
Cs 0.000 0.000 0.000
Zr 0.500 0.500 0.500
Sb 0.000 0.500 0.500
Sb 0.500 0.000 0.500
Sb 0.500 0.500 0.000
! **M_tot**: 0.0 μB/cell
! **Space-group type**: Pm-3m (221)

---

Least stable: A

---

A | ! CsZrSb2 GGA-PBE relaxed; values from VASP
&SYSTEM
  ibrav = 0, nat = 4, ntyp = 3
/
ATOMIC_SPECIES
Cs 132.91 Cs.upf
Zr 91.22 Zr.upf
Sb 121.76 Sb.upf
CELL_PARAMETERS angstrom
0.000 3.921 3.921
3.921 0.000 3.921
3.921 3.921 0.000
ATOMIC_POSITIONS crystal
Cs 0.000 0.000 0.000
Zr 0.500 0.500 0.500
Sb 0.250 0.250 0.250
Sb 0.750 0.750 0.750
! **M_tot**: 0.0 μB/cell
! **Space-group type**: Fm-3m (225)

---

B | ! CsZrSb2 GGA-PBE relaxed; values from VASP
&SYSTEM
  ibrav = 0, nat = 4, ntyp = 3
/
ATOMIC_SPECIES
Cs 132.91 Cs.upf
Zr 91.22 Zr.upf
Sb 121.76 Sb.upf
CELL_PARAMETERS angstrom
2.025 1.169 9.582
-2.025 1.169 9.582
0.000 -2.338 9.582
ATOMIC_POSITIONS crystal
Cs 0.000 0.000 0.000
Zr 0.500 0.500 0.500
Sb 0.230 0.230 0.230
Sb 0.770 0.770 0.770
! **M_tot**: 0.0 μB/cell
! **Space-group type**: R-3m (166)

---

C | ! CsZrSb2 GGA-PBE relaxed; values from VASP
&SYSTEM
  ibrav = 0, nat = 4, ntyp = 3
/
ATOMIC_SPECIES
Cs 132.91 Cs.upf
Zr 91.22 Zr.upf
Sb 121.76 Sb.upf
CELL_PARAMETERS angstrom
3.635 0.000 0.000
0.000 3.635 0.000
0.000 0.000 9.482
ATOMIC_POSITIONS crystal
Cs 0.000 0.000 0.000
Zr 0.000 0.000 0.500
Sb 0.500 0.500 0.315
Sb 0.500 0.500 0.685
! **M_tot**: 0.0 μB/cell
! **Space-group type**: P4/mmm (123)

---

Least stable: A

---

A | ! CsScSe3 GGA-PBE relaxed; values from VASP
&SYSTEM
  ibrav = 0, nat = 5, ntyp = 3
/
ATOMIC_SPECIES
Cs 132.91 Cs.upf
Sc 44.96 Sc.upf
Se 78.96 Se.upf
CELL_PARAMETERS angstrom
5.313 0.000 0.000
0.000 5.313 0.000
0.000 0.000 5.313
ATOMIC_POSITIONS crystal
Cs 0.000 0.000 0.000
Sc 0.500 0.500 0.500
Se 0.000 0.500 0.500
Se 0.500 0.000 0.500
Se 0.500 0.500 0.000
! **M_tot**: 0.0 μB/cell
! **Space-group type**: Pm-3m (221)

---

B | ! CsScSe3 GGA-PBE relaxed; values from VASP
&SYSTEM
  ibrav = 0, nat = 10, ntyp = 3
/
ATOMIC_SPECIES
Cs 132.91 Cs.upf
Sc 44.96 Sc.upf
Se 78.96 Se.upf
CELL_PARAMETERS angstrom
9.015 -2.728 0.000
9.015 2.728 0.000
-2.024 0.000 7.037
ATOMIC_POSITIONS crystal
Cs 0.224 0.224 0.244
Cs 0.776 0.776 0.756
Sc 0.500 0.500 0.000
Sc 0.500 0.500 0.500
Se 0.157 0.665 0.191
Se 0.335 0.843 0.809
Se 0.389 0.389 0.674
Se 0.611 0.611 0.326
Se 0.665 0.157 0.191
Se 0.843 0.335 0.809
! **M_tot**: 0.0 μB/cell
! **Space-group type**: C2/m (12)

---

Least stable: A

---

A | ! CsSc2Se3 GGA-PBE relaxed; values from VASP
&SYSTEM
  ibrav = 0, nat = 12, ntyp = 3
/
ATOMIC_SPECIES
Cs 132.91 Cs.upf
Sc 44.96 Sc.upf
Se 78.96 Se.upf
CELL_PARAMETERS angstrom
8.916 0.000 0.000
0.000 3.880 0.000
-2.153 0.000 10.243
ATOMIC_POSITIONS crystal
Cs 0.028 0.250 0.317
Cs 0.972 0.750 0.683
Sc 0.351 0.250 0.022
Sc 0.482 0.250 0.667
Sc 0.518 0.750 0.333
Sc 0.649 0.750 0.978
Se 0.239 0.750 0.149
Se 0.329 0.750 0.510
Se 0.370 0.750 0.835
Se 0.630 0.250 0.165
Se 0.671 0.250 0.490
Se 0.761 0.250 0.851
! **M_tot**: 0.0 μB/cell
! **Space-group type**: P2_1/m (11)

---

B | ! CsSc2Se3 GGA-PBE relaxed; values from VASP
&SYSTEM
  ibrav = 0, nat = 12, ntyp = 3
/
ATOMIC_SPECIES
Cs 132.91 Cs.upf
Sc 44.96 Sc.upf
Se 78.96 Se.upf
CELL_PARAMETERS angstrom
2.117 -8.224 0.000
2.117 8.224 0.000
0.000 0.000 10.700
ATOMIC_POSITIONS crystal
Cs 0.240 0.760 0.750
Cs 0.760 0.240 0.250
Sc 0.034 0.966 0.250
Sc 0.500 0.500 0.000
Sc 0.500 0.500 0.500
Sc 0.966 0.034 0.750
Se 0.112 0.888 0.044
Se 0.112 0.888 0.456
Se 0.444 0.556 0.250
Se 0.556 0.444 0.750
Se 0.888 0.112 0.544
Se 0.888 0.112 0.956
! **M_tot**: 0.0 μB/cell
! **Space-group type**: Cmcm (63)

---

Least stable: A